The following is a PBE+U calculation of K2NpCrO4 after structural relaxation, from Alexandria via LeMat-Bulk.

Computed properties:
Its symmetry is P2/m, No. 10. The total energy comes out at -7.3514 eV/atom. As for the mass density: 5.6 g/cm³.

POSCAR file:
```
K2NpCrO4
1.0
6.178 0.000 0.000
0.000 3.344 0.000
-2.543 0.000 6.226
K Np Cr O
2 1 1 4
Direct
0.000 0.000 0.000 K
0.500 0.500 0.000 K
0.000 0.500 0.500 Np
0.500 0.000 0.500 Cr
0.195 0.000 0.714 O
0.275 0.500 0.346 O
0.725 0.500 0.654 O
0.805 0.000 0.286 O
```